# TmNi2PbO6 | the Alexandria database | PBE with a Hubbard U | optimized geometry
# uncorrected energy = -5.8244 eV per atom
# volume = 115.3 Å³ per cell
data_TmNi2PbO6
_space_group_name_H-M_alt 'P 1'
_space_group_IT_number 1
_cell_length_a 5.2235
_cell_length_b 5.3583
_cell_length_c 5.4901
_cell_angle_alpha 119.10
_cell_angle_beta 116.50
_cell_angle_gamma 90.23
loop_
_space_group_symop_operation_xyz
'x,y,z'
loop_
_atom_site_label
_atom_site_type_symbol
_atom_site_fract_x
_atom_site_fract_y
_atom_site_fract_z
_atom_site_occupancy
Tm1 Tm 0.0000 0.0000 0.0000 1
Ni1 Ni 0.2880 0.7830 0.5146 1
Ni2 Ni 0.7769 0.2711 0.4972 1
Pb1 Pb 0.5674 0.4973 0.0145 1
O1 O 0.1767 0.5936 0.0187 1
O2 O 0.4056 0.0832 0.0020 1
O3 O 0.6079 0.5888 0.6600 1
O4 O 0.6314 0.1012 0.6576 1
O5 O 0.9386 0.9457 0.3539 1
O6 O 0.9663 0.4443 0.3601 1